No. 1
This record from Alexandria describes an optimized crystal structure of Tm7AuSe5. The functional is GGA-PBE.

The structure in POSCAR format:
```
Tm7AuSe5
1.0
3.9801 0.0000 0.0000
-1.9900 6.5515 0.0081
0.0000 -0.0283 24.0060
Tm Au Se
14 2 10
Direct
0.4646 0.9291 0.2500 Tm
0.5360 0.0720 0.7500 Tm
0.6385 0.2770 0.0374 Tm
0.3621 0.7243 0.9626 Tm
0.3621 0.7241 0.5374 Tm
0.6385 0.2769 0.4625 Tm
0.1947 0.3894 0.1801 Tm
0.8059 0.6117 0.8199 Tm
0.8058 0.6116 0.6801 Tm
0.1947 0.3895 0.3199 Tm
0.9069 0.8138 0.1176 Tm
0.0937 0.1874 0.8825 Tm
0.0936 0.1873 0.6175 Tm
0.9069 0.8138 0.3825 Tm
0.8016 0.6031 0.2500 Au
0.1990 0.3980 0.7500 Au
0.0003 0.0006 0.0000 Se
0.7228 0.4457 0.9290 Se
0.2778 0.5556 0.0710 Se
0.5521 0.1043 0.3576 Se
0.4484 0.8968 0.6424 Se
0.0003 0.0005 0.5000 Se
0.2778 0.5555 0.4290 Se
0.7227 0.4455 0.5710 Se
0.4485 0.8969 0.8576 Se
0.5521 0.1043 0.1424 Se
```

* theoretical density: 9.41 g/cm3
* formation energy without anion corrections: -1.4366 eV/atom
* space group: No. 63
* total DFT energy (no corrections): -141.35 eV for the cell shown

***

No. 2
This record from Alexandria describes an optimized crystal structure of AgPd2Pt2. The functional is GGA-PBE.

The structure in POSCAR format:
```
AgPd2Pt2
1.0
-0.5389 -4.8968 -6.0481
3.2372 -5.6542 4.2894
-2.5224 -0.7890 0.8636
Pd Ag Pt
4 2 4
Direct
0.3720 0.8720 0.0000 Pd
0.8720 0.6280 0.0000 Pd
0.6280 0.1280 0.0000 Pd
0.1280 0.3720 0.0000 Pd
0.0000 0.0000 0.0000 Ag
0.5000 0.5000 0.0000 Ag
0.1707 0.6707 0.5000 Pt
0.6707 0.8293 0.5000 Pt
0.8293 0.3293 0.5000 Pt
0.3293 0.1707 0.5000 Pt
```

* theoretical density: 13.95 g/cm3
* space group: No. 127
* ΔE to the lowest computed polymorph: 0.024 eV per atom
* total DFT energy (no corrections): -49.37 eV for the cell shown